(1)
ZnRe2As: relaxed, PBE.

Unit cell a=8.949 b=8.949 c=8.949 alpha=18.44 beta=18.44 gamma=18.44
Element x y z (fractional)
Zn 0.000 0.000 0.000
Re 0.250 0.250 0.250
Re 0.504 0.504 0.504
As 0.758 0.758 0.758

Summary:
The space-group type is R3m, No. 160. Its energy of formation from the pure elements is 0.574 eV per formula unit. The calculation puts the distance to the lowest polymorph of the same formula at 0 meV/atom.



(2)
CsTlBr2: relaxed, PBE.

Unit cell a=10.417 b=10.417 c=10.417 alpha=28.79 beta=28.79 gamma=28.79
Element x y z (fractional)
Cs 0.000 0.000 0.000
Tl 0.500 0.500 0.500
Br 0.110 0.110 0.110
Br 0.890 0.890 0.890

Summary:
The space-group type is R-3m, No. 166. For the uncorrected formation energy, the calculation gives -100.4 kJ/mol of atoms.



(3)
Pr8AsRh3Br4: relaxed, PBE.

Unit cell a=9.146 b=9.146 c=9.146 alpha=55.18 beta=55.18 gamma=55.18
Element x y z (fractional)
Pr 0.220 0.740 0.740
Pr 0.233 0.233 0.233
Pr 0.260 0.260 0.780
Pr 0.260 0.780 0.260
Pr 0.740 0.220 0.740
Pr 0.740 0.740 0.220
Pr 0.767 0.767 0.767
Pr 0.780 0.260 0.260
As 0.500 0.500 0.500
Rh 0.000 0.000 0.500
Rh 0.000 0.500 0.000
Rh 0.500 0.000 0.000
Br 0.000 0.000 0.000
Br 0.000 0.500 0.500
Br 0.500 0.000 0.500
Br 0.500 0.500 0.000

Summary:
The space-group type is R-3m, No. 166. For the uncorrected formation energy, the calculation gives -106.5 kJ/mol of atoms.



(4)
ThPaTl2: relaxed, PBE.

Unit cell a=5.450 b=5.450 c=5.450 alpha=60.00 beta=60.00 gamma=60.00
Element x y z (fractional)
Th 0.000 0.000 0.000
Pa 0.500 0.500 0.500
Tl 0.250 0.250 0.250
Tl 0.750 0.750 0.750

Summary:
The space-group type is Fm-3m, No. 225. Its energy of formation from the pure elements is 0.720 eV per formula unit. The calculation puts the distance to the lowest polymorph of the same formula at 125 meV/atom.



(5)
Ho4Tm5: relaxed, PBE.

Unit cell a=6.054 b=6.054 c=10.485 alpha=106.76 beta=106.76 gamma=48.21
Element x y z (fractional)
Ho 0.000 0.000 0.167
Ho 0.000 0.000 0.833
Ho 0.333 0.333 0.278
Ho 0.667 0.667 0.722
Tm 0.000 0.000 0.500
Tm 0.333 0.333 0.611
Tm 0.333 0.333 0.944
Tm 0.667 0.667 0.056
Tm 0.667 0.667 0.389

Summary:
The space-group type is C2/m, No. 12. Its energy of formation from the pure elements is 0.228 eV per formula unit. The calculation puts the distance to the lowest polymorph of the same formula at 0 meV/atom.



(6)
NdMgTc: relaxed, PBE.

Unit cell a=7.063 b=7.063 c=5.490 alpha=103.36 beta=103.36 gamma=34.63
Element x y z (fractional)
Nd 0.131 0.131 0.324
Nd 0.869 0.869 0.676
Mg 0.424 0.424 0.206
Mg 0.576 0.576 0.794
Tc 0.224 0.224 0.896
Tc 0.776 0.776 0.104

Summary:
The space-group type is C2/m, No. 12. Its energy of formation from the pure elements is 0.163 eV per formula unit.



(7)
ReSbIr2: relaxed, PBE.

Unit cell a=2.911 b=3.926 c=5.688 alpha=90.00 beta=90.00 gamma=90.00
Element x y z (fractional)
Re 0.000 0.000 0.000
Sb 0.000 0.000 0.500
Ir 0.500 0.500 0.231
Ir 0.500 0.500 0.769

Summary:
The space-group type is Pmmm, No. 47. For the uncorrected formation energy, the calculation gives 23.0 kJ/mol of atoms.



(8)
TlCrPb2: relaxed, PBE.

Unit cell a=5.325 b=5.325 c=3.805 alpha=90.00 beta=90.00 gamma=90.00
Element x y z (fractional)
Tl 0.000 0.000 0.000
Cr 0.500 0.500 0.000
Pb 0.000 0.500 0.500
Pb 0.500 0.000 0.500

Summary:
The space-group type is P4/mmm, No. 123. Its energy of formation from the pure elements is 1.687 eV per formula unit. The calculation puts the distance to the lowest polymorph of the same formula at 131 meV/atom.



(9)
KAs3Rh: relaxed, PBE.

Unit cell a=5.192 b=5.192 c=5.192 alpha=90.00 beta=90.00 gamma=90.00
Element x y z (fractional)
K 0.000 0.000 0.000
As 0.000 0.000 0.500
As 0.000 0.500 0.000
As 0.500 0.000 0.000
Rh 0.500 0.500 0.500

Summary:
The space-group type is Pm-3m, No. 221. Its energy of formation from the pure elements is 10.249 eV per formula unit. The calculation puts the distance to the lowest polymorph of the same formula at 1894 meV/atom.



(10)
ZnPd3Ru: relaxed, PBE.

Unit cell a=4.562 b=4.562 c=4.562 alpha=90.00 beta=90.00 gamma=90.00
Element x y z (fractional)
Zn 0.000 0.000 0.000
Pd 0.000 0.000 0.500
Pd 0.000 0.500 0.000
Pd 0.500 0.000 0.000
Ru 0.500 0.500 0.500

Summary:
The space-group type is Pm-3m, No. 221. Its energy of formation from the pure elements is 4.750 eV per formula unit. The calculation puts the distance to the lowest polymorph of the same formula at 0 meV/atom.



(11)
KCa3Cu: relaxed, PBE.

Unit cell a=6.544 b=6.544 c=6.544 alpha=90.00 beta=90.00 gamma=90.00
Element x y z (fractional)
K 0.000 0.000 0.000
Ca 0.000 0.000 0.500
Ca 0.000 0.500 0.000
Ca 0.500 0.000 0.000
Cu 0.500 0.500 0.500

Summary:
The space-group type is Pm-3m, No. 221. Its energy of formation from the pure elements is 6.099 eV per formula unit. The calculation puts the distance to the lowest polymorph of the same formula at 1177 meV/atom.



(12)
SrLaAl: relaxed, PBE.

Unit cell a=7.652 b=7.652 c=7.652 alpha=150.96 beta=150.96 gamma=41.53
Element x y z (fractional)
Sr 0.000 0.000 0.000
La 0.733 0.733 0.000
Al 0.353 0.353 0.000

Summary:
The space-group type is I4mm, No. 107. Its energy of formation from the pure elements is -0.365 eV per formula unit. The calculation puts the distance to the lowest polymorph of the same formula at 84 meV/atom.



Number 1: calculated volume 62.6 Å³/cell. Number 2: calculated volume 231.9 Å³/cell. Number 3: calculated volume 480.4 Å³/cell. Number 4: calculated volume 114.5 Å³/cell. Number 5: calculated volume 271.8 Å³/cell. Number 6: calculated volume 151.0 Å³/cell. Number 7: calculated volume 65.0 Å³/cell. Number 8: calculated volume 107.9 Å³/cell. Number 9: calculated volume 140.0 Å³/cell. Number 10: calculated volume 95.0 Å³/cell. Number 11: calculated volume 280.2 Å³/cell. Number 12: calculated volume 105.3 Å³/cell.